## BPNF2 (PBEsol)

Data for a geometry-optimized BPNF2 structure.

Geometry as POSCAR:
```
BPNF2
1.0
3.286 0.000 0.000
0.000 4.107 0.000
0.000 0.000 4.107
F B N P
2 1 1 1
direct
0.000 0.500 0.000 F
0.000 0.000 0.500 F
0.500 0.500 0.500 B
0.500 0.000 0.000 N
0.000 0.000 0.000 P
```

Uncorrected energy ... -4.72 eV/atom
Formation energy (no corrections) ... 319 meV per atom
Spin magnetization ... 0.00 μB per formula unit
Volume ... 11.08 Å³ per atom